The following is a PBE calculation of a relaxed Al2HgRh2 crystal, from the Alexandria database.

abc: 7.2999 7.2999 2.9543
angles: 90.00 90.00 90.00
With the nearest neighbours (Å) after each atom.
Sites, in units of the cell vectors:
1 Al 0.3548 0.1452 0.5000  6 Rh 2.60
2 Al 0.1452 0.6452 0.5000  6 Rh 2.60
3 Al 0.8548 0.3548 0.5000  6 Rh 2.60
4 Al 0.6452 0.8548 0.5000  6 Rh 2.60
5 Hg 0.5000 0.5000 0.0000  4 Rh 2.79, 2 Hg 2.95
6 Hg 0.0000 0.0000 0.0000  4 Rh 2.79, 2 Hg 2.95
7 Rh 0.1480 0.3520 0.0000  6 Al 2.60, 2 Hg 2.79
8 Rh 0.3520 0.8520 0.0000  6 Al 2.60, 2 Hg 2.79
9 Rh 0.8520 0.6480 0.0000  6 Al 2.60, 2 Hg 2.79
10 Rh 0.6480 0.1480 0.0000  6 Al 2.60, 2 Hg 2.79

Summary:
DOS at the Fermi energy in states/eV/f.u.: 2.31
Energy above the lowest structure with this stoichiometry in eV per formula unit: 0.000
Crystal system: tetragonal
Formation enthalpy at 0 K in meV/atom: -625
Space group: No. 127

The following is a PBE calculation of a relaxed Y5Al2Sn crystal, from the Alexandria database.

abc: 7.9548 7.9548 8.9305
angles: 116.45 116.45 90.00
With the nearest neighbours (Å) after each atom.
Sites, in units of the cell vectors:
1 Y 0.6887 0.1887 0.7073  3 Al 3.09-3.12, 2 Sn 3.30, 1 Y 3.45
2 Y 0.0000 0.0000 0.0000  4 Al 3.15, 2 Sn 3.47
3 Y 0.8113 0.9814 0.2927  3 Al 3.09-3.12, 2 Sn 3.30, 1 Y 3.45
4 Y 0.0186 0.5186 0.7073  3 Al 3.09-3.12, 2 Sn 3.30, 1 Y 3.45
5 Y 0.9814 0.4814 0.2927  3 Al 3.09-3.12, 2 Sn 3.30, 1 Y 3.45
6 Y 0.1887 0.0186 0.7073  3 Al 3.09-3.12, 2 Sn 3.30, 1 Y 3.45
7 Y 0.5000 0.5000 0.0000  4 Al 3.15, 2 Sn 3.47
8 Y 0.3113 0.8113 0.2927  3 Al 3.09-3.12, 2 Sn 3.30, 1 Y 3.45
9 Y 0.4814 0.3113 0.2927  3 Al 3.09-3.12, 2 Sn 3.30, 1 Y 3.45
10 Y 0.5186 0.6887 0.7073  3 Al 3.09-3.12, 2 Sn 3.30, 1 Y 3.45
11 Al 0.3752 0.8752 0.0000  1 Al 2.81, 6 Y 3.09-3.12
12 Al 0.6248 0.1248 0.0000  1 Al 2.81, 6 Y 3.09-3.12
13 Al 0.1248 0.3752 0.0000  1 Al 2.81, 6 Y 3.09-3.12
14 Al 0.8752 0.6248 0.0000  1 Al 2.81, 6 Y 3.09-3.12
15 Sn 0.7500 0.7500 0.5000  10 Y 3.30-3.47
16 Sn 0.2500 0.2500 0.5000  10 Y 3.30-3.47

Summary:
DOS at the Fermi energy in states/eV/f.u.: 7.05
Crystal system: tetragonal
Formation enthalpy at 0 K in meV/atom: -484
Space group: No. 140